# 1
## NpBeFe (PBE-GGA)

Data for NpBeFe after structural relaxation.

## Properties
Offset from the most stable computed form (eV per atom): 0.0000
Final energy (eV for the cell shown): -93.525
Density (Mg/m³): 10.60

Cell: 5.7400 5.7400 5.7400 Å, 90.00 90.00 90.00°
With the nearest neighbours (Å) after each atom.
Space group F-43m (No. 216)
Unique sites:
Np (0.0000, 0.0000, 0.0000) (multiplicity 4)  4 Fe 2.49
Be (0.0000, 0.0000, 0.5000) (multiplicity 4)  4 Fe 2.49
Fe (0.2500, 0.2500, 0.2500) (multiplicity 4)  4 Be 2.49, 4 Np 2.49

# 2
## BeFeOs2 (PBE-GGA)

Data for BeFeOs2 after structural relaxation.

## Properties
Final energy (eV for the cell shown): -134.559
Density (Mg/m³): 14.73

Cell: 5.8557 5.8557 5.8557 Å, 90.00 90.00 90.00°
With the nearest neighbours (Å) after each atom.
Space group F-43m (No. 216)
Unique sites:
Be (0.0000, 0.0000, 0.0000) (multiplicity 4)  4 Fe 2.54, 4 Os 2.54
Fe (0.2500, 0.2500, 0.2500) (multiplicity 4)  4 Os 2.54, 4 Be 2.54
Os (0.0000, 0.0000, 0.5000) (multiplicity 4)  4 Fe 2.54, 4 Os 2.54
Os (0.2500, 0.2500, 0.7500) (multiplicity 4)  4 Os 2.54, 4 Be 2.54

# 3
## Be2FeOs (PBE-GGA)

Data for Be2FeOs after structural relaxation.

## Properties
Final energy (eV for the cell shown): -108.253
Density (Mg/m³): 10.39

Cell: 5.5270 5.5270 5.5270 Å, 90.00 90.00 90.00°
With the nearest neighbours (Å) after each atom.
Space group F-43m (No. 216)
Unique sites:
Be (0.0000, 0.0000, 0.0000) (multiplicity 4)  4 Be 2.39, 4 Fe 2.39
Be (0.2500, 0.2500, 0.2500) (multiplicity 4)  4 Os 2.39, 4 Be 2.39
Fe (0.2500, 0.2500, 0.7500) (multiplicity 4)  4 Os 2.39, 4 Be 2.39
Os (0.0000, 0.0000, 0.5000) (multiplicity 4)  4 Fe 2.39, 4 Be 2.39

# 4
## BeFeSbOs (PBE-GGA)

Data for BeFeSbOs after structural relaxation.

## Properties
Offset from the most stable computed form (eV per atom): 0.0000
Final energy (eV for the cell shown): -105.775
Density (Mg/m³): 11.71

Cell: 5.9789 5.9789 5.9789 Å, 90.00 90.00 90.00°
With the nearest neighbours (Å) after each atom.
Space group F-43m (No. 216)
Unique sites:
Be (0.0000, 0.0000, 0.0000) (multiplicity 4)  4 Fe 2.59, 4 Os 2.59
Fe (0.2500, 0.2500, 0.7500) (multiplicity 4)  4 Sb 2.59, 4 Be 2.59
Sb (0.0000, 0.0000, 0.5000) (multiplicity 4)  4 Fe 2.59, 4 Os 2.59
Os (0.2500, 0.2500, 0.2500) (multiplicity 4)  4 Sb 2.59, 4 Be 2.59